Computed, not measured: a relaxed structure of AlFeF2 at the PBE with a Hubbard U level of DFT.

Lattice parameters (Å, degrees): 4.1932 4.1932 4.1932 60.00 60.00 60.00
Last column: nearest neighbours and their distance in Å.
Fractional positions:
F  0.7500  0.7500  0.7500  4 Fe 2.57, 4 Al 2.57
Fe  0.5000  0.5000  0.5000  8 F 2.57
F  0.2500  0.2500  0.2500  4 Fe 2.57, 4 Al 2.57
Al  0.0000  0.0000  0.0000  8 F 2.57

Summary:
V in Å³ per atom: 13.03
Electronic total energy in eV per atom: -4.245